No. 1
Compound: Hf3TaAu
Source: Alexandria via LeMat-Bulk
Functional: GGA-PBE
Structure: relaxed

Results
E above lowest polymorph: 0.00 eV per formula unit
formation enthalpy at 0 K: 1.075 eV/atom

Cell: 5.054 5.054 5.054 Å, 90.00 90.00 90.00°
Atoms (fractional coordinates):
1 Hf 0.000 0.000 0.500
2 Hf 0.000 0.500 0.000
3 Hf 0.500 0.000 0.000
4 Ta 0.000 0.000 0.000
5 Au 0.500 0.500 0.500



No. 2
Compound: Cd2TcP
Source: Alexandria via LeMat-Bulk
Functional: GGA-PBE
Structure: relaxed

Results
formation enthalpy at 0 K: 0.550 eV/atom

Cell: 2.846 2.846 9.239 Å, 90.00 90.00 105.32°
Atoms (fractional coordinates):
1 Cd 0.000 0.000 0.244
2 Cd 0.000 0.000 0.756
3 Tc 0.500 0.500 0.000
4 P 0.500 0.500 0.500



No. 3
Compound: NaAgHg4
Source: Alexandria via LeMat-Bulk
Functional: GGA-PBE
Structure: relaxed

Results
E above lowest polymorph: 0.08 eV per formula unit
formation enthalpy at 0 K: -0.055 eV/atom

Cell: 9.478 9.478 5.266 Å, 94.37 94.37 140.97°
Atoms (fractional coordinates):
1 Na 0.116 0.884 0.750
2 Na 0.884 0.116 0.250
3 Ag 0.355 0.645 0.250
4 Ag 0.645 0.355 0.750
5 Hg 0.043 0.460 0.747
6 Hg 0.226 0.309 0.836
7 Hg 0.309 0.226 0.336
8 Hg 0.460 0.043 0.247
9 Hg 0.540 0.957 0.753
10 Hg 0.691 0.774 0.664
11 Hg 0.774 0.691 0.164
12 Hg 0.957 0.540 0.253



No. 4
Compound: OsPd3Se
Source: Alexandria via LeMat-Bulk
Functional: GGA-PBE
Structure: relaxed

Results
ΔE_f (raw): 1.06 eV per atom
E above lowest polymorph: 0.00 eV per formula unit

Cell: 4.616 4.616 4.616 Å, 90.00 90.00 90.00°
Atoms (fractional coordinates):
1 Os 0.000 0.000 0.000
2 Pd 0.000 0.500 0.500
3 Pd 0.500 0.000 0.500
4 Pd 0.500 0.500 0.000
5 Se 0.500 0.500 0.500



One value per record, in order, for total energy: -7.92; -3.85; -0.95; -5.00 eV/atom.